# PBE BC3, optimized geometry
# * crystal system: monoclinic
# * size of the total moment: 0.000 μB/atom
# * energy of formation from the pure elements: 6.45 kcal/mol of atoms
data_BC3
_space_group_name_H-M_alt 'C 1 m 1'
_space_group_IT_number 8
_cell_length_a 11.4350
_cell_length_b 2.5978
_cell_length_c 5.1902
_cell_angle_alpha 90.00
_cell_angle_beta 102.94
_cell_angle_gamma 90.00
loop_
_space_group_symop_operation_xyz
'x,y,z'
'x,-y,z'
'x+1/2,y+1/2,z'
'x+1/2,-y+1/2,z'
loop_
_atom_site_label
_atom_site_type_symbol
_atom_site_fract_x
_atom_site_fract_y
_atom_site_fract_z
B1 B 0.0000 0.0000 0.0000
B2 B 0.1176 0.0000 0.7224
B3 B 0.3527 0.0000 0.1319
C1 C 0.0135 0.0000 0.4620
C2 C 0.1051 0.0000 0.2664
C3 C 0.1853 0.5000 0.2985
C4 C 0.1924 0.5000 0.7998
C5 C 0.2620 0.5000 0.0878
C6 C 0.2732 0.5000 0.5858
C7 C 0.3540 0.0000 0.6259
C8 C 0.4338 0.0000 0.9056
C9 C 0.4370 0.0000 0.4292